No. 1
Be5PdAu4 after structural relaxation, computed with PBE.

Structure (POSCAR):
```
Be5PdAu4
1.0
2.9460 0.0000 0.0000
0.0000 2.9460 0.0000
0.0000 0.0000 14.6779
Be Au Pd
5 4 1
direct
0.5000 0.5000 0.9095
0.5000 0.5000 0.0905
0.5000 0.5000 0.7026
0.5000 0.5000 0.5000
0.5000 0.5000 0.2974
0.0000 0.0000 0.8051
0.0000 0.0000 0.1949
0.0000 0.0000 0.6023
0.0000 0.0000 0.3977
0.0000 0.0000 0.0000
```

Properties
Fermi-level density of states in states/eV per cell: 3.67
Space-group type: P4/mmm
DFT formation energy in eV/f.u.: -2.04

---

No. 2
BePd3Au after structural relaxation, computed with PBE.

Structure (POSCAR):
```
BePd3Au
1.0
2.8321 0.0000 0.0007
-0.0001 6.7446 0.0001
-0.0019 -0.0001 7.6515
Be Pd Au
2 6 2
direct
0.5907 0.6123 0.1377
0.5907 0.6123 0.6378
0.0905 0.8959 0.1934
0.0906 0.8959 0.5819
0.0907 0.6707 0.8877
0.0906 0.3287 0.0819
0.0905 0.3287 0.6934
0.0907 0.5539 0.3877
0.5906 0.1875 0.3876
0.5906 0.0371 0.8876
```

Properties
Fermi-level density of states in states/eV per cell: 6.63
Space-group type: Pmma
Energy relative to the lowest polymorph listed for this composition in meV/atom: 0
DFT formation energy in eV/f.u.: -1.30

---

No. 3
Be4PdAu after structural relaxation, computed with PBE.

Structure (POSCAR):
```
Be4PdAu
1.0
-2.1701 2.3607 3.1319
-4.3549 -0.7473 0.7532
-1.3087 -1.9873 3.7986
Be Pd Au
4 1 1
direct
0.6245 0.6245 0.6245
0.6245 0.6245 0.1266
0.6245 0.1266 0.6245
0.1266 0.6245 0.6245
0.2500 0.2500 0.2500
0.0000 0.0000 0.0000
```

Properties
Fermi-level density of states in states/eV per cell: 2.43
Space-group type: F-43m
DFT formation energy in eV/f.u.: -1.70

---

No. 4
BePdAu2 after structural relaxation, computed with PBE.

Structure (POSCAR):
```
BePdAu2
1.0
6.9652 0.0000 0.0000
0.0000 6.9652 0.0000
3.4826 3.4826 2.6055
Pd Au Be
2 4 2
direct
0.7500 0.2500 0.5000
0.0000 0.0000 0.0000
0.5670 0.1250 0.2500
0.1830 0.6250 0.2500
0.3750 0.4330 0.7500
0.8750 0.8170 0.7500
0.2500 0.7500 0.5000
0.5000 0.5000 0.0000
```

Properties
Fermi-level density of states in states/eV per cell: 1.60
Space-group type: I-42d
DFT formation energy in eV/f.u.: -0.22

---

No. 5
BePdAu2 after structural relaxation, computed with PBE.

Structure (POSCAR):
```
BePdAu2
1.0
2.9097 0.0000 0.0000
0.0000 2.9097 0.0000
0.0000 0.0000 6.9672
Au Pd Be
2 1 1
direct
0.0000 0.0000 0.7893
0.0000 0.0000 0.2107
0.5000 0.5000 0.5000
0.5000 0.5000 0.0000
```

Properties
Fermi-level density of states in states/eV per cell: 1.72
Space-group type: P4/mmm
DFT formation energy in eV/f.u.: -0.69

---

No. 6
Be4Pd2Au3 after structural relaxation, computed with PBE.

Structure (POSCAR):
```
Be4Pd2Au3
1.0
-2.5448 -2.6321 1.7121
0.6945 -1.2778 3.8337
-4.3476 6.1553 3.0081
Au Pd Be
3 2 4
direct
0.0000 0.0000 0.0000
0.6661 0.6684 0.5986
0.3339 0.3316 0.4014
0.6652 0.6693 0.2006
0.3348 0.3307 0.7994
0.0006 0.9972 0.3129
0.6669 0.6658 0.8966
0.9994 0.0028 0.6871
0.3331 0.3342 0.1034
```

Properties
Fermi-level density of states in states/eV per cell: 2.95
Space-group type: C2/m
DFT formation energy in eV/f.u.: -2.70

---

No. 7
BePd5Au after structural relaxation, computed with PBE.

Structure (POSCAR):
```
BePd5Au
1.0
3.9131 0.0000 0.0000
0.0000 3.9131 0.0000
0.0000 0.0000 6.9197
Be Pd Au
1 5 1
direct
0.5000 0.5000 0.0000
0.5000 0.5000 0.5000
0.0000 0.5000 0.8029
0.5000 0.0000 0.8029
0.5000 0.0000 0.1971
0.0000 0.5000 0.1971
0.0000 0.0000 0.5000
```

Properties
Fermi-level density of states in states/eV per cell: 6.69
Space-group type: P4/mmm
DFT formation energy in eV/f.u.: -1.11

---

No. 8
BePdAu2 after structural relaxation, computed with PBE.

Structure (POSCAR):
```
BePdAu2
1.0
-3.0951 -0.5081 -2.5169
-0.9470 -3.4383 1.8586
-2.3105 5.6448 4.9146
Au Be Pd
4 2 2
direct
0.5000 0.0000 0.0000
0.3501 0.3501 0.7003
0.0000 0.5000 0.0000
0.6499 0.6499 0.2997
0.2500 0.7500 0.5000
0.7500 0.2500 0.5000
0.1525 0.1525 0.3050
0.8475 0.8475 0.6950
```

Properties
Fermi-level density of states in states/eV per cell: 1.76
Space-group type: I4/mmm
DFT formation energy in eV/f.u.: -1.11

---

No. 9
BePd3Au after structural relaxation, computed with PBE.

Structure (POSCAR):
```
BePd3Au
1.0
-2.5385 -0.0424 4.2528
-0.8298 -4.8526 -0.5437
4.1713 -0.9911 2.4799
Pd Au Be
3 1 1
direct
0.0000 0.0000 0.5000
0.5000 0.0000 0.0000
0.0000 0.5000 0.0000
0.0000 0.0000 0.0000
0.5000 0.5000 0.5000
```

Properties
Fermi-level density of states in states/eV per cell: 2.87
Space-group type: Pm-3m
Energy relative to the lowest polymorph listed for this composition in meV/atom: 1608
DFT formation energy in eV/f.u.: 6.74

---

No. 10
BePd3Au after structural relaxation, computed with PBE.

Structure (POSCAR):
```
BePd3Au
1.0
4.2449 0.0000 0.0000
0.0000 4.2449 0.0000
0.0000 0.0000 4.2449
Pd Be Au
3 1 1
direct
0.5000 0.0000 0.0000
0.0000 0.0000 0.5000
0.0000 0.5000 0.0000
0.0000 0.0000 0.0000
0.5000 0.5000 0.5000
```

Properties
Fermi-level density of states in states/eV per cell: 2.37
Space-group type: Pm-3m
Energy relative to the lowest polymorph listed for this composition in meV/atom: 208
DFT formation energy in eV/f.u.: -0.26

---

No. 11
Be7PdAu12 after structural relaxation, computed with PBE.

Structure (POSCAR):
```
Be7PdAu12
1.0
-2.2893 1.0138 -4.4806
7.3797 -3.3550 -2.5697
-5.5211 -5.4010 3.5587
Be Pd Au
7 1 12
direct
0.1083 0.7654 0.0658
0.5000 0.0000 0.0000
0.6572 0.6996 0.7654
0.8917 0.2346 0.9342
0.3428 0.3004 0.2346
0.0425 0.9342 0.6996
0.9575 0.0658 0.3004
0.0000 0.0000 0.0000
0.9338 0.1591 0.6135
0.2253 0.5456 0.1591
0.5424 0.9345 0.6903
0.7747 0.4544 0.8409
0.6080 0.7558 0.0655
0.1478 0.6903 0.7558
0.0662 0.8409 0.3865
0.3203 0.3865 0.5456
0.6797 0.6135 0.4544
0.8522 0.3097 0.2442
0.3920 0.2442 0.9345
0.4576 0.0655 0.3097
```

Properties
Fermi-level density of states in states/eV per cell: 4.71
Space-group type: R-3
DFT formation energy in eV/f.u.: -2.57

---

No. 12
Be4Pd5Au after structural relaxation, computed with PBE.

Structure (POSCAR):
```
Be4Pd5Au
1.0
-1.6811 -2.2707 -0.1882
1.8522 -1.4981 1.5305
-7.2561 4.2955 12.9864
Be Au Pd
4 1 5
direct
0.0000 0.0000 0.7768
0.0000 0.0000 0.2232
0.0000 0.0000 0.5912
0.0000 0.0000 0.4088
0.0000 0.0000 0.0000
0.5000 0.5000 0.5000
0.5000 0.5000 0.6811
0.5000 0.5000 0.1386
0.5000 0.5000 0.8614
0.5000 0.5000 0.3189
```

Properties
Fermi-level density of states in states/eV per cell: 4.11
Space-group type: P4/mmm
DFT formation energy in eV/f.u.: -5.25